{
  "formula": "CaMn2Pt",
  "functional": "PBE-GGA",
  "state": "optimized geometry",
  "cell": [[3.3554, 0.0000, 0.0000], [0.0000, 3.3554, 0.0000], [0.0000, 0.0000, 7.0813]],
  "species": ["Ca", "Mn", "Mn", "Pt"],
  "frac_coords": [[0.0000, 0.0000, 0.0000], [0.5000, 0.5000, 0.3117], [0.5000, 0.5000, 0.6883], [0.0000, 0.0000, 0.5000]],
  "total_magnetization_mub_per_fu": 8.748,
  "e_form_ev_per_atom": 0.102,
  "energy_ev_per_atom": -6.49
}